VASP calculation (PBE) on a relaxed LiPmCrC crystal.

Structure (POSCAR):
```
LiPmCrC
1.0
3.368 0.000 0.000
0.000 3.368 0.000
0.000 0.000 11.420
Li Pm Cr C
2 2 2 2
Direct
0.250 0.750 0.000 Li
0.750 0.250 0.000 Li
0.250 0.250 0.272 Pm
0.750 0.750 0.728 Pm
0.250 0.750 0.500 Cr
0.750 0.250 0.500 Cr
0.250 0.250 0.613 C
0.750 0.750 0.387 C
```

Summary:
* space group: P4/nmm (129)
* spin magnetization: 0.004 Bohr magnetons per cell
* DFT formation energy: -0.030 eV per atom